(1)
# SiH2SeCl

An optimized crystal structure of SiH2SeCl (GGA-PBE, Alexandria).

Values from the calculation:
The space-group type is P4/mmm, No. 123. The total energy comes out at -16.0 eV for the cell shown.

Cell: 3.760 5.138 3.760 Å, 90.00 90.00 90.00°
Element x y z (fractional)
Cl  0.500  0.500  0.500
Se  0.000  0.500  0.000
Si  0.000  0.000  0.000
H  0.500  0.000  0.000
H  0.000  0.000  0.500


(2)
# Sm2H2SeCl

An optimized crystal structure of Sm2H2SeCl (GGA-PBE, Alexandria).

Values from the calculation:
The space-group type is P-3m1, No. 164. The total energy comes out at -29.1 eV for the cell shown.

Cell: 3.903 3.903 8.296 Å, 90.00 90.00 120.00°
Element x y z (fractional)
Cl  0.000  0.000  0.000
H  0.667  0.333  0.761
H  0.333  0.667  0.239
Sm  0.333  0.667  0.727
Sm  0.667  0.333  0.273
Se  0.000  0.000  0.500


(3)
# SrHSe2Cl

An optimized crystal structure of SrHSe2Cl (GGA-PBE, Alexandria).

Values from the calculation:
The space-group type is P4/mmm, No. 123. The total energy comes out at -17.9 eV for the cell shown.

Cell: 4.167 5.925 4.167 Å, 90.00 90.00 90.00°
Element x y z (fractional)
Cl  0.000  0.500  0.000
Sr  0.500  0.500  0.500
H  0.000  0.000  0.000
Se  0.500  0.000  0.000
Se  0.000  0.000  0.500


(4)
# TiHSeCl

An optimized crystal structure of TiHSeCl (GGA-PBE, Alexandria).

Values from the calculation:
The space-group type is R3m, No. 160. The total energy comes out at -20.7 eV for the cell shown.

Cell: 3.340 3.340 7.384 Å, 90.03 103.04 120.00°
Element x y z (fractional)
Se  0.014  0.872  0.886
H  0.504  0.617  0.121
Cl  0.332  0.031  0.363
Ti  0.842  0.286  0.127


(5)
# Tl2HSeCl

An optimized crystal structure of Tl2HSeCl (GGA-PBE, Alexandria).

Values from the calculation:
The space-group type is P2_1/m, No. 11. The total energy comes out at -31.9 eV for the cell shown.

Cell: 4.743 7.957 9.110 Å, 120.58 90.00 90.00°
Element x y z (fractional)
Se  0.250  0.800  0.830
Se  0.750  0.200  0.170
Cl  0.250  0.763  0.304
Cl  0.750  0.237  0.696
Tl  0.250  0.311  0.997
Tl  0.750  0.689  0.003
Tl  0.250  0.186  0.427
Tl  0.750  0.814  0.573
H  0.250  0.601  0.676
H  0.750  0.399  0.324


(6)
# UHSeCl

An optimized crystal structure of UHSeCl (GGA-PBE, Alexandria).

Values from the calculation:
The space-group type is Cm, No. 8. The total energy comes out at -24.4 eV for the cell shown.

Cell: 3.833 3.833 7.430 Å, 90.06 104.89 120.00°
Last column: magnetic moment on the atom in μB.
Element x y z (fractional)
U  0.503  0.616  0.120  2.03
H  0.844  0.287  0.131  -0.01
Se  0.005  0.866  0.871  -0.09
Cl  0.340  0.035  0.375  -0.03


(7)
# VHSeCl2

An optimized crystal structure of VHSeCl2 (GGA-PBE, Alexandria).

Values from the calculation:
The space-group type is P4/mmm, No. 123. The total energy comes out at -20.0 eV for the cell shown.

Cell: 4.811 4.797 4.811 Å, 90.00 90.00 90.00°
Last column: magnetic moment on the atom in μB.
Element x y z (fractional)
Cl  0.500  0.000  0.000  0.02
Cl  0.000  0.000  0.500  -0.01
H  0.500  0.500  0.500  0.36
Se  0.000  0.500  0.000  -0.35
V  0.000  0.000  0.000  1.48


(8)
# Y2HSeCl

An optimized crystal structure of Y2HSeCl (GGA-PBE, Alexandria).

Values from the calculation:
The space-group type is P4/mmm, No. 123. The total energy comes out at -23.9 eV for the cell shown.

Cell: 5.234 5.234 3.678 Å, 90.00 90.00 90.00°
Element x y z (fractional)
Y  0.500  0.000  0.000
Y  0.000  0.500  0.000
H  0.000  0.000  0.500
Cl  0.000  0.000  0.000
Se  0.500  0.500  0.500